CaCd2Cl | PBE | relaxed

The calculation puts the final energy at -1.998 eV/atom. The total moment comes out at 0.00 μB/f.u. As for the density of states at the Fermi level: 0.405 states/eV/atom. The value obtained for the offset from the most stable computed form is 211 meV/atom. The calculation puts the volume at 30.20 A^3/atom.

Lattice parameters (Å, degrees): 4.0675 5.4283 5.4710 90.00 90.00 90.00
Last column: nearest neighbours and their distance in Å.
Fractional coordinates of all 4 atoms:
Cd (0.0000, 0.0000, 0.0022)  2 Cd 2.71-2.76
Cd (0.0000, 0.0000, 0.4978)  2 Cd 2.71-2.76
Ca (0.5000, 0.5000, 0.7500)  2 Cl 2.74
Cl (0.5000, 0.5000, 0.2500)  2 Ca 2.74

=====

ReHg2P | PBE | relaxed

The energy relative to the elements is 0.99 eV/atom. The calculation puts the final energy at -3.630 eV/atom. The total moment comes out at 0.72 μB/f.u. As for the density of states at the Fermi level: 0.515 states/eV/atom. The calculation puts the volume at 18.16 A^3/atom.

Lattice parameters (Å, degrees): 5.6066 5.6066 5.6066 139.84 139.84 58.10
Last column: nearest neighbours and their distance in Å.
Fractional coordinates of all 4 atoms:
Hg (0.2500, 0.7500, 0.5000)  4 Hg 2.72
Hg (0.7500, 0.2500, 0.5000)  4 Hg 2.72
Re (0.0000, 0.0000, 0.0000)  4 P 2.72
P (0.5000, 0.5000, 0.0000)  4 Re 2.72

=====

RePb2N | PBE | relaxed

The calculation puts the final energy at -5.586 eV/atom. The total moment comes out at 1.94 μB/f.u. As for the density of states at the Fermi level: 0.496 states/eV/atom. The calculation puts the volume at 20.56 A^3/atom.

Lattice parameters (Å, degrees): 6.6504 6.6504 5.9955 56.32 56.32 90.00
Last column: nearest neighbours and their distance in Å.
Fractional coordinates of all 8 atoms:
Re (0.0000, 0.0000, 0.0000)  4 Pb 2.80
Re (0.7500, 0.2500, 0.5000)  4 Pb 2.80
N (0.5000, 0.5000, 0.0000)  4 Pb 2.29
N (0.2500, 0.7500, 0.5000)  4 Pb 2.29
Pb (0.3750, 0.4338, 0.7500)  2 N 2.29
Pb (0.8750, 0.8162, 0.7500)  2 N 2.29
Pb (0.5662, 0.1250, 0.2500)  2 N 2.29
Pb (0.1838, 0.6250, 0.2500)  2 N 2.29

=====

Ag5Au2 | PBE | relaxed

The energy relative to the elements is 0.05 eV/atom. The calculation puts the final energy at -2.923 eV/atom. The total moment comes out at 0.00 μB/f.u. As for the density of states at the Fermi level: 0.313 states/eV/atom. The value obtained for the offset from the most stable computed form is 69 meV/atom. The calculation puts the volume at 18.88 A^3/atom.

Lattice parameters (Å, degrees): 7.2029 5.2043 5.2043 113.26 68.20 68.20
Last column: nearest neighbours and their distance in Å.
Fractional coordinates of all 7 atoms:
Ag (0.7709, 0.6204, 0.0416)  3 Au 2.81-2.91, 7 Ag 2.84-3.03
Ag (0.2291, 0.9584, 0.3796)  3 Au 2.81-2.91, 7 Ag 2.84-3.03
Ag (0.2291, 0.3796, 0.9584)  3 Au 2.81-2.91, 7 Ag 2.84-3.03
Ag (0.0000, 0.0000, 0.0000)  8 Ag 2.90-3.03, 4 Au 2.91-3.14
Ag (0.7709, 0.0416, 0.6204)  3 Au 2.81-2.91, 7 Ag 2.84-3.03
Au (0.5658, 0.6783, 0.6783)  1 Au 2.77, 7 Ag 2.81-2.91
Au (0.4342, 0.3217, 0.3217)  1 Au 2.77, 7 Ag 2.81-2.91

=====

NbAg2PbF | PBE | relaxed

The calculation puts the final energy at -4.247 eV/atom. The total moment comes out at 1.50 μB/f.u. As for the density of states at the Fermi level: 0.985 states/eV/atom. The value obtained for the offset from the most stable computed form is 0 meV/atom. The calculation puts the volume at 23.71 A^3/atom.

Lattice parameters (Å, degrees): 5.4245 4.0286 5.4245 90.00 90.00 90.00
Last column: nearest neighbours and their distance in Å.
Fractional coordinates of all 5 atoms:
Ag (0.0000, 0.0000, 0.5000)  2 Nb 2.71
Ag (0.5000, 0.0000, 0.0000)  2 Nb 2.71
Pb (0.5000, 0.5000, 0.5000)  8 Ag 3.38
Nb (0.0000, 0.0000, 0.0000)  2 F 2.01
F (0.0000, 0.5000, 0.0000)  2 Nb 2.01

=====

LaSbBr2 | PBE | relaxed

The calculation puts the final energy at -4.266 eV/atom. The total moment comes out at 0.00 μB/f.u. As for the density of states at the Fermi level: 0.058 states/eV/atom. The value obtained for the offset from the most stable computed form is 17 meV/atom. The calculation puts the volume at 31.29 A^3/atom.

Lattice parameters (Å, degrees): 5.0171 4.7044 6.0162 61.82 90.00 90.00
Last column: nearest neighbours and their distance in Å.
Fractional coordinates of all 4 atoms:
Br (0.0000, 0.0000, 0.0958)  2 La 2.98-3.03
Br (0.5000, 0.4185, 0.1984)  2 Sb 2.79-3.06, 2 La 3.11
Sb (0.5000, 0.7605, 0.6722)  2 Br 2.79-3.06
La (0.0000, 0.3209, 0.5336)  4 Br 2.98-3.11